This record from Alexandria via LeMat-Bulk describes a geometry-optimized PrGdScGa structure. The functional is PBE-GGA.

Results
* volume: 26.40 Å³/atom
* density: 6.49 g cm⁻³
* DOS(E_F): 1.0875 states/eV/atom
* symmetry: F-43m
* energy relative to the elements: -0.154 eV/atom

Lattice parameters (Å, degrees): 5.305 5.305 5.305 60.00 60.00 60.00
Sites, in units of the cell vectors:
Pr1 0.000 0.000 0.000
Gd1 0.500 0.500 0.500
Sc1 0.750 0.750 0.750
Ga1 0.250 0.250 0.250

=====

This record from Alexandria via LeMat-Bulk describes a geometry-optimized TbPrGdGa structure. The functional is PBE-GGA.

Results
* volume: 28.12 Å³/atom
* density: 7.78 g cm⁻³
* DOS(E_F): 1.1448 states/eV/atom
* symmetry: F-43m
* energy relative to the elements: -0.100 eV/atom

Lattice parameters (Å, degrees): 5.419 5.419 5.419 60.00 60.00 60.00
Sites, in units of the cell vectors:
Tb1 0.000 0.000 0.000
Pr1 0.250 0.250 0.250
Gd1 0.750 0.750 0.750
Ga1 0.500 0.500 0.500

=====

This record from Alexandria via LeMat-Bulk describes a geometry-optimized PrGdZnGa structure. The functional is PBE-GGA.

Results
* volume: 24.78 Å³/atom
* density: 7.26 g cm⁻³
* DOS(E_F): 0.7760 states/eV/atom
* symmetry: F-43m
* energy relative to the elements: -0.452 eV/atom

Lattice parameters (Å, degrees): 5.194 5.194 5.194 60.00 60.00 60.00
Sites, in units of the cell vectors:
Pr1 0.000 0.000 0.000
Gd1 0.500 0.500 0.500
Zn1 0.250 0.250 0.250
Ga1 0.750 0.750 0.750

=====

This record from Alexandria via LeMat-Bulk describes a geometry-optimized GdGaPt2 structure. The functional is PBE-GGA.

Results
* volume: 19.74 Å³/atom
* density: 12.98 g cm⁻³
* DOS(E_F): 0.4528 states/eV/atom
* symmetry: R-3m
* energy relative to the elements: -0.983 eV/atom

Lattice parameters (Å, degrees): 5.348 5.348 5.348 48.61 48.61 48.61
Sites, in units of the cell vectors:
Gd1 0.000 0.000 0.000
Ga1 0.500 0.500 0.500
Pt1 0.214 0.214 0.214
Pt2 0.786 0.786 0.786

=====

This record from Alexandria via LeMat-Bulk describes a geometry-optimized GdGa2Pt structure. The functional is PBE-GGA.

Results
* volume: 19.85 Å³/atom
* density: 10.28 g cm⁻³
* DOS(E_F): 0.5830 states/eV/atom
* symmetry: R-3m
* energy relative to the elements: -0.814 eV/atom

Lattice parameters (Å, degrees): 5.602 5.602 5.602 44.81 44.81 44.81
Sites, in units of the cell vectors:
Gd1 0.000 0.000 0.000
Ga1 0.218 0.218 0.218
Ga2 0.782 0.782 0.782
Pt1 0.500 0.500 0.500

=====

This record from Alexandria via LeMat-Bulk describes a geometry-optimized GdGaPt structure. The functional is PBE-GGA.

Results
* volume: 20.13 Å³/atom
* density: 11.60 g cm⁻³
* DOS(E_F): 0.8619 states/eV/atom
* symmetry: I4mm
* energy relative to the elements: -0.793 eV/atom

Lattice parameters (Å, degrees): 5.697 5.697 5.697 145.05 145.05 50.27
Sites, in units of the cell vectors:
Gd1 0.000 0.000 0.000
Ga1 0.699 0.699 0.000
Pt1 0.313 0.313 0.000